# 1
# BaCa2YZn (PBE, optimized geometry)
# Formation energy from the elements   0.04 eV/atom
data_BaCa2YZn
_chemical_formula_sum 'Ba1 Ca2 Y1 Zn1'
_cell_length_a 5.897
_cell_length_b 5.897
_cell_length_c 5.705
_cell_angle_alpha 90.00
_cell_angle_beta 90.00
_cell_angle_gamma 90.00
_symmetry_space_group_name_H-M 'P 4/m m m'
_symmetry_Int_Tables_number 123
_symmetry_space_group_name_Hall '-P 4 2'
loop_
_atom_site_label
_atom_site_type_symbol
_atom_site_fract_x
_atom_site_fract_y
_atom_site_fract_z
_atom_site_occupancy
Ba1 Ba 0.000 0.000 0.000 1
Ca1 Ca 0.000 0.500 0.500 1
Y1 Y 0.500 0.500 0.000 1
Zn1 Zn 0.500 0.500 0.500 1

---

# 2
# TaTeSeI2 (PBE, optimized geometry)
# Formation energy without anion corrections   1.30 eV per atom
data_TaTeSeI2
_chemical_formula_sum 'Ta1 Te1 Se1 I2'
_cell_length_a 5.584
_cell_length_b 5.584
_cell_length_c 5.500
_cell_angle_alpha 90.00
_cell_angle_beta 90.00
_cell_angle_gamma 90.00
_symmetry_space_group_name_H-M 'P 4/m m m'
_symmetry_Int_Tables_number 123
_symmetry_space_group_name_Hall '-P 4 2'
loop_
_atom_site_label
_atom_site_type_symbol
_atom_site_fract_x
_atom_site_fract_y
_atom_site_fract_z
_atom_site_occupancy
Ta1 Ta 0.000 0.000 0.000 1
Te1 Te 0.500 0.500 0.000 1
Se1 Se 0.500 0.500 0.500 1
I1 I 0.000 0.500 0.500 1

---

# 3
# EuDyYMg (PBE, optimized geometry)
# Formation energy from the elements   0.08 eV/atom
data_EuDyYMg
_chemical_formula_sum 'Eu4 Dy4 Y4 Mg4'
_cell_length_a 7.910
_cell_length_b 7.910
_cell_length_c 7.910
_cell_angle_alpha 90.00
_cell_angle_beta 90.00
_cell_angle_gamma 90.00
_symmetry_space_group_name_H-M 'F -4 3 m'
_symmetry_Int_Tables_number 216
_symmetry_space_group_name_Hall 'F -4 2 3'
loop_
_atom_site_label
_atom_site_type_symbol
_atom_site_fract_x
_atom_site_fract_y
_atom_site_fract_z
_atom_site_occupancy
Eu1 Eu 0.000 0.000 0.000 1
Dy1 Dy 0.250 0.250 0.750 1
Y1 Y 0.250 0.250 0.250 1
Mg1 Mg 0.000 0.000 0.500 1

---

# 4
# CoSe2Br (PBE, optimized geometry)
# Formation energy without anion corrections   0.29 eV per atom
data_CoSe2Br
_chemical_formula_sum 'Co1 Se2 Br1'
_cell_length_a 2.888
_cell_length_b 2.888
_cell_length_c 11.466
_cell_angle_alpha 90.00
_cell_angle_beta 90.00
_cell_angle_gamma 90.00
_symmetry_space_group_name_H-M 'P 4 m m'
_symmetry_Int_Tables_number 99
_symmetry_space_group_name_Hall 'P 4 -2'
loop_
_atom_site_label
_atom_site_type_symbol
_atom_site_fract_x
_atom_site_fract_y
_atom_site_fract_z
_atom_site_occupancy
Co1 Co 0.000 0.000 0.000 1
Se1 Se 0.000 0.000 0.406 1
Se2 Se 0.500 0.500 0.101 1
Br1 Br 0.500 0.500 0.777 1

---

# 5
# YCrTc (PBE, optimized geometry)
# Formation energy from the elements   0.63 eV/atom
data_YCrTc
_chemical_formula_sum 'Y4 Cr4 Tc4'
_cell_length_a 6.322
_cell_length_b 6.322
_cell_length_c 6.322
_cell_angle_alpha 90.00
_cell_angle_beta 90.00
_cell_angle_gamma 90.00
_symmetry_space_group_name_H-M 'F -4 3 m'
_symmetry_Int_Tables_number 216
_symmetry_space_group_name_Hall 'F -4 2 3'
loop_
_atom_site_label
_atom_site_type_symbol
_atom_site_fract_x
_atom_site_fract_y
_atom_site_fract_z
_atom_site_occupancy
Y1 Y 0.000 0.000 0.000 1
Cr1 Cr 0.000 0.000 0.500 1
Tc1 Tc 0.250 0.250 0.750 1

---

# 6
# MgFeH2 (PBE, optimized geometry)
# Calculated total energy   -0.30619 Ry/atom
data_MgFeH2
_chemical_formula_sum 'Mg4 Fe4 H8'
_cell_length_a 4.250
_cell_length_b 4.250
_cell_length_c 8.044
_cell_angle_alpha 90.00
_cell_angle_beta 90.00
_cell_angle_gamma 90.00
_symmetry_space_group_name_H-M 'I -4 2 d'
_symmetry_Int_Tables_number 122
_symmetry_space_group_name_Hall 'I -4 2bw'
loop_
_atom_site_label
_atom_site_type_symbol
_atom_site_fract_x
_atom_site_fract_y
_atom_site_fract_z
_atom_site_occupancy
Mg1 Mg 0.000 0.000 0.000 1
Fe1 Fe 0.000 0.000 0.500 1
H1 H 0.190 0.250 0.625 1

---

# 7
# ZrIn2Au (PBE, optimized geometry)
# Formation energy from the elements   -0.25 eV/atom
data_ZrIn2Au
_chemical_formula_sum 'Zr2 In4 Au2'
_cell_length_a 4.281
_cell_length_b 4.281
_cell_length_c 9.346
_cell_angle_alpha 90.00
_cell_angle_beta 90.00
_cell_angle_gamma 90.00
_symmetry_space_group_name_H-M 'I -4 m 2'
_symmetry_Int_Tables_number 119
_symmetry_space_group_name_Hall 'I -4 -2'
loop_
_atom_site_label
_atom_site_type_symbol
_atom_site_fract_x
_atom_site_fract_y
_atom_site_fract_z
_atom_site_occupancy
Zr1 Zr 0.000 0.000 0.000 1
In1 In 0.000 0.000 0.500 1
In2 In 0.000 0.500 0.750 1
Au1 Au 0.000 0.500 0.250 1

---

# 8
# SmNpTe2N (PBE, optimized geometry)
# Formation energy without anion corrections   -1.17 eV per atom
data_SmNpTe2N
_chemical_formula_sum 'Sm2 Np2 Te4 N2'
_cell_length_a 4.064
_cell_length_b 4.064
_cell_length_c 16.398
_cell_angle_alpha 90.00
_cell_angle_beta 90.00
_cell_angle_gamma 90.00
_symmetry_space_group_name_H-M 'P 4/n m m'
_symmetry_Int_Tables_number 129
loop_
_symmetry_equiv_pos_as_xyz
'x,y,z'
'-x,-y,-z'
'-y+1/2,x,z'
'y+1/2,-x,-z'
'-x+1/2,-y+1/2,z'
'x+1/2,y+1/2,-z'
'y,-x+1/2,z'
'-y,x+1/2,-z'
'x+1/2,-y,-z'
'-x+1/2,y,z'
'-y,-x,-z'
'y,x,z'
'-x,y+1/2,-z'
'x,-y+1/2,z'
'y+1/2,x+1/2,-z'
'-y+1/2,-x+1/2,z'
loop_
_atom_site_label
_atom_site_type_symbol
_atom_site_fract_x
_atom_site_fract_y
_atom_site_fract_z
_atom_site_occupancy
Sm1 Sm 0.250 0.250 0.144 1
Np1 Np 0.250 0.250 0.564 1
Te1 Te 0.250 0.250 0.326 1
Te2 Te 0.250 0.250 0.919 1
N1 N 0.250 0.750 0.500 1

---

# 9
# TePdRh3 (PBE, optimized geometry)
# Formation energy without anion corrections   1.04 eV per atom
data_TePdRh3
_chemical_formula_sum 'Te1 Pd1 Rh3'
_cell_length_a 4.790
_cell_length_b 4.790
_cell_length_c 4.790
_cell_angle_alpha 90.00
_cell_angle_beta 90.00
_cell_angle_gamma 90.00
_symmetry_space_group_name_H-M 'P m -3 m'
_symmetry_Int_Tables_number 221
_symmetry_space_group_name_Hall '-P 4 2 3'
loop_
_atom_site_label
_atom_site_type_symbol
_atom_site_fract_x
_atom_site_fract_y
_atom_site_fract_z
_atom_site_occupancy
Te1 Te 0.000 0.000 0.000 1
Pd1 Pd 0.500 0.500 0.500 1
Rh1 Rh 0.000 0.000 0.500 1